(1)
The following is a PBE calculation of a relaxed structure of CsZn2Si2, from Alexandria via LeMat-Bulk.

POSCAR file:
```
CsZn2Si2
1.0
8.827 0.000 0.000
0.000 8.827 0.000
0.000 0.000 3.274
Cs Zn Si
2 4 4
Cartesian
0.000 0.000 0.000 Cs
4.414 4.414 0.000 Cs
1.113 3.301 1.637 Zn
3.301 7.715 1.637 Zn
5.526 1.113 1.637 Zn
7.715 5.526 1.637 Zn
0.958 5.372 0.000 Si
3.455 0.958 0.000 Si
5.372 7.869 0.000 Si
7.869 3.455 0.000 Si
```

Properties
symmetry	P4/mbm, No. 127
total moment	0.000	μB per atom
excess energy over the best structure of this formula in the dataset	1.41	eV/f.u.

---

(2)
The following is a PBE calculation of a relaxed structure of CsZnSi, from Alexandria via LeMat-Bulk.

POSCAR file:
```
CsZnSi
1.0
4.458 0.000 0.000
-1.748 5.555 0.000
-1.590 -0.767 7.649
Cs Zn Si
2 2 2
Cartesian
0.000 0.000 0.000 Cs
0.393 1.841 5.244 Cs
-1.398 4.332 3.450 Zn
2.424 2.031 2.216 Zn
0.227 3.148 1.736 Si
0.834 5.167 3.115 Si
```

Properties
symmetry	P1, No. 1
total moment	0.000	μB per atom
excess energy over the best structure of this formula in the dataset	0.10	eV/f.u.

---

(3)
The following is a PBE calculation of a relaxed structure of CsZnSi, from Alexandria via LeMat-Bulk.

POSCAR file:
```
CsZnSi
1.0
4.348 0.000 0.000
0.000 6.071 0.000
0.000 0.000 7.313
Cs Zn Si
2 2 2
Cartesian
0.000 0.000 0.000 Cs
2.174 0.000 3.656 Cs
0.000 3.036 2.330 Zn
0.000 3.036 4.983 Zn
2.174 3.036 1.155 Si
2.174 3.036 6.158 Si
```

Properties
symmetry	Pmmm, No. 47
total moment	0.000	μB per atom
excess energy over the best structure of this formula in the dataset	0.14	eV/f.u.

---

(4)
The following is a PBE calculation of a relaxed structure of CsZn2Si, from Alexandria via LeMat-Bulk.

POSCAR file:
```
CsZn2Si
1.0
-3.005 3.005 7.352
3.005 -3.005 7.352
3.005 3.005 -7.352
Cs Zn Si
2 4 2
Cartesian
3.005 1.502 1.838 Cs
0.000 1.502 5.514 Cs
0.000 0.000 0.000 Zn
1.502 1.502 -3.676 Zn
1.502 -1.502 3.676 Zn
0.000 3.005 0.000 Zn
3.005 -1.502 5.514 Si
0.000 4.507 1.838 Si
```

Properties
symmetry	I4_1/amd, No. 141
total moment	0.000	μB per atom

---

(5)
The following is a PBE calculation of a relaxed structure of CsZn2Si2, from Alexandria via LeMat-Bulk.

POSCAR file:
```
CsZn2Si2
1.0
-2.335 2.335 5.142
2.335 -2.335 5.142
2.335 2.335 -5.142
Cs Zn Si
1 2 2
Cartesian
0.000 0.000 0.000 Cs
2.335 0.000 2.571 Zn
0.000 2.335 2.571 Zn
0.000 0.000 3.907 Si
0.000 0.000 6.377 Si
```

Properties
symmetry	I4/mmm, No. 139
total moment	0.000	μB per atom
excess energy over the best structure of this formula in the dataset	0.00	eV/f.u.

---

(6)
The following is a PBE calculation of a relaxed structure of CsZnSi3, from Alexandria via LeMat-Bulk.

POSCAR file:
```
CsZnSi3
1.0
5.018 0.000 0.000
0.000 5.018 0.000
0.000 0.000 5.018
Cs Zn Si
1 1 3
Cartesian
0.000 0.000 0.000 Cs
2.509 2.509 2.509 Zn
0.000 2.509 2.509 Si
2.509 0.000 2.509 Si
2.509 2.509 0.000 Si
```

Properties
symmetry	Pm-3m, No. 221
total moment	0.000	μB per atom
excess energy over the best structure of this formula in the dataset	0.00	eV/f.u.

---

(7)
The following is a PBE calculation of a relaxed structure of CsZnSi, from Alexandria via LeMat-Bulk.

POSCAR file:
```
CsZnSi
1.0
4.480 0.000 0.000
-1.911 6.960 0.000
-1.142 -2.402 6.738
Cs Zn Si
2 2 2
Cartesian
0.105 1.839 1.348 Cs
1.321 2.718 5.390 Cs
1.159 -1.044 4.621 Zn
0.268 5.601 2.117 Zn
-1.976 4.886 2.553 Si
3.402 -0.328 4.185 Si
```

Properties
symmetry	P-1, No. 2
total moment	0.000	μB per atom
excess energy over the best structure of this formula in the dataset	0.00	eV/f.u.

---

(8)
The following is a PBE calculation of a relaxed structure of CsZnSi3, from Alexandria via LeMat-Bulk.

POSCAR file:
```
CsZnSi3
1.0
5.677 0.000 0.000
0.000 5.677 0.000
0.000 0.000 5.677
Cs Zn Si
1 1 3
Cartesian
0.000 0.000 0.000 Cs
2.839 2.839 2.839 Zn
0.000 0.000 2.839 Si
0.000 2.839 0.000 Si
2.839 0.000 0.000 Si
```

Properties
symmetry	Pm-3m, No. 221
total moment	0.000	μB per atom
excess energy over the best structure of this formula in the dataset	7.31	eV/f.u.

---

(9)
The following is a PBE calculation of a relaxed structure of CsZnSi, from Alexandria via LeMat-Bulk.

POSCAR file:
```
CsZnSi
1.0
4.245 0.000 0.000
-2.123 3.676 0.000
0.000 0.000 6.106
Cs Zn Si
1 1 1
Cartesian
0.000 0.000 0.000 Cs
0.000 2.451 3.053 Zn
2.123 1.225 3.053 Si
```

Properties
symmetry	P-6m2, No. 187
total moment	0.001	μB per atom
excess energy over the best structure of this formula in the dataset	0.29	eV/f.u.

---

(10)
The following is a PBE calculation of a relaxed structure of Cs2ZnSi, from Alexandria via LeMat-Bulk.

POSCAR file:
```
Cs2ZnSi
1.0
0.000 4.473 4.473
4.473 0.000 4.473
4.473 4.473 0.000
Cs Zn Si
2 1 1
Cartesian
2.237 2.237 2.237 Cs
6.710 6.710 6.710 Cs
0.000 0.000 0.000 Zn
4.473 4.473 4.473 Si
```

Properties
symmetry	Fm-3m, No. 225
total moment	0.500	μB per atom

---

(11)
The following is a PBE calculation of a relaxed structure of Cs2ZrSi, from Alexandria via LeMat-Bulk.

POSCAR file:
```
Cs2ZrSi
1.0
-7.029 7.029 2.606
7.029 -7.029 2.606
7.029 7.029 -2.606
Cs Zr Si
4 2 2
Cartesian
1.058 3.515 0.651 Cs
-3.515 5.971 1.954 Cs
-1.058 10.544 0.651 Cs
3.515 8.087 1.954 Cs
7.029 0.000 1.303 Zr
0.000 0.000 2.606 Zr
0.000 0.000 0.000 Si
0.000 7.029 1.303 Si
```

Properties
symmetry	I-42d, No. 122
total moment	0.446	μB per atom
excess energy over the best structure of this formula in the dataset	0.00	eV/f.u.

---

(12)
The following is a PBE calculation of a relaxed structure of CsZr3Si, from Alexandria via LeMat-Bulk.

POSCAR file:
```
CsZr3Si
1.0
5.213 0.000 0.000
0.000 5.213 0.000
0.000 0.000 5.213
Cs Zr Si
1 3 1
Cartesian
0.000 0.000 0.000 Cs
0.000 2.606 2.606 Zr
2.606 0.000 2.606 Zr
2.606 2.606 0.000 Zr
2.606 2.606 2.606 Si
```

Properties
symmetry	Pm-3m, No. 221
total moment	0.000	μB per atom
excess energy over the best structure of this formula in the dataset	0.00	eV/f.u.

---

What uncorrected formation energy values result from the calculations? In sequence: 220.2 24.7 28.7 59.4 84.1 411.5 14.9 1116.5 42.5 190.1 262.2 344.8 kJ/mol of formula units.